Record 1
Density functional theory data (PBE) for an optimized crystal structure of Sr2TlZnPd.

DFT formation energy	-0.2945	eV/atom
ρ	5.5	g/cm3
energy above the lowest structure with this stoichiometry	0.0	meV per atom

a b c (Å): 5.8496 5.8496 4.8901
angles (deg): 90.00 90.00 90.00
Last column: nearest neighbours and their distance in Å.
Element x y z (fractional)
Sr  0.0000  0.5000  0.0000  2 Pd 2.92
Sr  0.5000  0.0000  0.0000  2 Pd 2.92
Tl  0.0000  0.0000  0.5000  8 Sr 3.81, 4 Zn 4.14
Zn  0.5000  0.5000  0.5000  2 Pd 2.45
Pd  0.5000  0.5000  0.0000  2 Zn 2.45

***

Record 2
Density functional theory data (PBE) for an optimized crystal structure of Pm6MgSe8.

calculated total energy	-5.56	eV/atom
ρ	6.5	g/cm3

a b c (Å): 7.7693 7.7693 7.7693
angles (deg): 68.17 68.17 68.17
Last column: nearest neighbours and their distance in Å.
Element x y z (fractional)
Pm  0.0873  0.4659  0.6910  7 Se 2.93-3.19
Pm  0.3090  0.9127  0.5341  7 Se 2.93-3.19
Pm  0.4659  0.6910  0.0873  7 Se 2.93-3.19
Pm  0.5341  0.3090  0.9127  7 Se 2.93-3.19
Pm  0.6910  0.0873  0.4659  7 Se 2.93-3.19
Pm  0.9127  0.5341  0.3090  7 Se 2.93-3.19
Mg  0.0000  0.0000  0.0000  6 Se 2.77
Se  0.0912  0.8226  0.3487  1 Mg 2.77, 4 Pm 2.93-3.04
Se  0.1774  0.6513  0.9088  1 Mg 2.77, 4 Pm 2.93-3.04
Se  0.3260  0.3260  0.3260  6 Pm 3.04-3.09
Se  0.3487  0.0912  0.8226  1 Mg 2.77, 4 Pm 2.93-3.04
Se  0.6513  0.9088  0.1774  1 Mg 2.77, 4 Pm 2.93-3.04
Se  0.6740  0.6740  0.6740  6 Pm 3.04-3.09
Se  0.8226  0.3487  0.0912  1 Mg 2.77, 4 Pm 2.93-3.04
Se  0.9088  0.1774  0.6513  1 Mg 2.77, 4 Pm 2.93-3.04

***

Record 3
Density functional theory data (PBE) for an optimized crystal structure of MgGeF2.

ρ	3.5	g/cm3
energy above the lowest structure with this stoichiometry	825.0	meV per atom

a b c (Å): 3.1161 3.1161 23.0298
angles (deg): 90.00 90.00 120.00
Last column: nearest neighbours and their distance in Å.
Element x y z (fractional)
Mg  0.0000  0.0000  0.0000  2 F 1.90
Mg  0.3333  0.6667  0.6667  2 F 1.90
Mg  0.6667  0.3333  0.3333  2 F 1.90
Ge  0.0000  0.0000  0.5000  6 F 2.65
Ge  0.3333  0.6667  0.1667  6 F 2.65
Ge  0.6667  0.3333  0.8333  6 F 2.65
F  0.0000  0.0000  0.0824  1 Mg 1.90
F  0.0000  0.0000  0.9176  1 Mg 1.90
F  0.3333  0.6667  0.5842  1 Mg 1.90
F  0.3333  0.6667  0.7491  1 Mg 1.90
F  0.6667  0.3333  0.2509  1 Mg 1.90
F  0.6667  0.3333  0.4158  1 Mg 1.90